This record from Alexandria describes a geometry-optimized Er7TmTl4 structure. The functional is PBE-GGA.

The space group is C2/m (No. 12) and the conventional cell measures 14.865, 5.738 and 9.671 Å, with angles of 90.00, 121.46 and 90.00 degrees. The inequivalent atoms are Er at (0.000, 0.000, 0.000), Er at (0.069, 0.500, 0.408), Er at (0.204, 0.500, 0.879), Er at (0.245, 0.000, 0.700), Tm at (0.000, 0.500, 0.000), Tl at (0.049, 0.000, 0.710) and Tl at (0.185, 0.000, 0.338).

For the formation enthalpy at 0 K, the calculation gives 0.01 eV per atom. The calculation puts the uncorrected energy at -3.812 eV/atom. The calculation puts the theoretical density at 10.2 Mg/m³.

This record from Alexandria describes a geometry-optimized KGa3Tc structure. The functional is PBE-GGA.

The space group is Fd-3m (No. 227, origin choice 2) and the conventional cell measures 13.643, 13.643 and 13.643 Å, with angles of 90.00, 90.00 and 90.00 degrees. The inequivalent atoms are K at (0.000, 0.000, 0.000), Ga at (0.032, 0.375, 0.875) and Tc at (0.000, 0.000, 0.500).

For the formation enthalpy at 0 K, the calculation gives 0.04 eV per atom. The calculation puts the uncorrected energy at -4.068 eV/atom. For the polymorph energy (0 for the lowest one), the calculation gives 0.218 eV per atom. The calculation puts the theoretical density at 3.6 Mg/m³.

This record from Alexandria describes a geometry-optimized Tm6AuS5 structure. The functional is PBE-GGA.

The space group is C2/m (No. 12) and the conventional cell measures 6.753, 11.715 and 6.741 Å, with angles of 90.00, 109.60 and 90.00 degrees. The inequivalent atoms are Tm at (0.244, 0.000, 0.254), Tm at (0.246, 0.171, 0.748), Au at (0.000, 0.500, 0.000), S at (0.000, 0.000, 0.500), S at (0.000, 0.165, 0.000) and S at (0.000, 0.332, 0.500).

For the formation energy without anion corrections, the calculation gives -2015 kJ/mol of formula units. The calculation puts the uncorrected energy at -5.969 eV/atom. The calculation puts the theoretical density at 9.1 Mg/m³.

This record from Alexandria describes a geometry-optimized NbGaRhF2 structure. The functional is PBE-GGA.

The space group is P4/mmm (No. 123) and the conventional cell measures 4.022, 4.022 and 5.147 Å, with angles of 90.00, 90.00 and 90.00 degrees. The inequivalent atoms are Nb at (0.000, 0.000, 0.000), Ga at (0.500, 0.500, 0.500), Rh at (0.000, 0.000, 0.500) and F at (0.000, 0.500, 0.000).

For the formation energy without anion corrections, the calculation gives -561 kJ/mol of formula units. The calculation puts the uncorrected energy at -6.002 eV/atom. The calculation puts the theoretical density at 6.1 Mg/m³.

This record from Alexandria describes a geometry-optimized Sm3Al3Ge2 structure. The functional is PBE-GGA.

The space group is Cmcm (No. 63) and the conventional cell measures 4.142, 11.321 and 15.883 Å, with angles of 90.00, 90.00 and 90.00 degrees. The inequivalent atoms are Sm at (0.000, 0.075, 0.250), Sm at (0.000, 0.360, 0.093), Al at (0.000, 0.073, 0.057), Al at (0.000, 0.194, 0.750) and Ge at (0.000, 0.343, 0.621).

For the formation enthalpy at 0 K, the calculation gives -0.60 eV per atom. The calculation puts the uncorrected energy at -4.932 eV/atom. The calculation puts the theoretical density at 6.0 Mg/m³.

This record from Alexandria describes a geometry-optimized LiMnBr2 structure. The functional is PBE-GGA.

The space group is P4mm (No. 99) and the conventional cell measures 3.898, 3.898 and 5.636 Å, with angles of 90.00, 90.00 and 90.00 degrees. The inequivalent atoms are Li at (0.000, 0.000, 0.000), Mn at (0.500, 0.500, 0.494), Br at (0.000, 0.000, 0.496) and Br at (0.500, 0.500, 0.995).

For the formation energy without anion corrections, the calculation gives -230 kJ/mol of formula units. The calculation puts the uncorrected energy at -4.203 eV/atom. For the polymorph energy (0 for the lowest one), the calculation gives 0.054 eV per atom. The calculation puts the theoretical density at 4.3 Mg/m³.

This record from Alexandria describes a geometry-optimized HoPaRu structure. The functional is PBE-GGA.

The space group is F-43m (No. 216) and the conventional cell measures 6.713, 6.713 and 6.713 Å, with angles of 90.00, 90.00 and 90.00 degrees. The inequivalent atoms are Ho at (0.000, 0.000, 0.000), Pa at (0.000, 0.000, 0.500) and Ru at (0.250, 0.250, 0.250).

For the formation enthalpy at 0 K, the calculation gives -0.04 eV per atom. The calculation puts the uncorrected energy at -7.823 eV/atom. For the polymorph energy (0 for the lowest one), the calculation gives 0.277 eV per atom. The calculation puts the theoretical density at 10.9 Mg/m³.

This record from Alexandria describes a geometry-optimized LiSiHRh2 structure. The functional is PBE-GGA.

The space group is P4/mmm (No. 123) and the conventional cell measures 3.973, 3.973 and 3.281 Å, with angles of 90.00, 90.00 and 90.00 degrees. The inequivalent atoms are Li at (0.000, 0.000, 0.000), Si at (0.500, 0.500, 0.000), H at (0.000, 0.000, 0.500) and Rh at (0.000, 0.500, 0.500).

The calculation puts the uncorrected energy at -5.644 eV/atom. For the polymorph energy (0 for the lowest one), the calculation gives 0.000 eV per atom. The calculation puts the theoretical density at 7.8 Mg/m³.